# Y2Ho2CI2Cl3 PBE-GGA optimized geometry
# Total moment, μB per atom: 0.02
# Electronic total energy, eV per cell: -108.4
# E above lowest polymorph, meV/atom: 22.7
data_Y2Ho2CI2Cl3
_chemical_formula_sum 'Y4 Ho4 C2 I4 Cl6'
_cell_length_a 18.303
_cell_length_b 3.823
_cell_length_c 7.927
_cell_angle_alpha 90.00
_cell_angle_beta 100.10
_cell_angle_gamma 90.00
_symmetry_space_group_name_H-M 'C 1 2/m 1'
_symmetry_Int_Tables_number 12
loop_
_symmetry_equiv_pos_as_xyz
'x,y,z'
'-x,-y,-z'
'-x,y,-z'
'x,-y,z'
'x+1/2,y+1/2,z'
'-x+1/2,-y+1/2,-z'
'-x+1/2,y+1/2,-z'
'x+1/2,-y+1/2,z'
loop_
_atom_site_label
_atom_site_type_symbol
_atom_site_fract_x
_atom_site_fract_y
_atom_site_fract_z
_atom_site_occupancy
Y1 Y 0.003 0.000 0.293 1
Ho1 Ho 0.131 0.500 0.555 1
C1 C 0.000 0.500 0.500 1
I1 I 0.167 0.000 0.850 1
Cl1 Cl 0.000 0.500 0.000 1
Cl2 Cl 0.161 0.000 0.332 1

# ZrNbMo PBE-GGA optimized geometry
# Total moment, μB per atom: 0.00
# Electronic total energy, eV per cell: -111.8
# E above lowest polymorph, meV/atom: 0.0
data_ZrNbMo
_chemical_formula_sum 'Zr4 Nb4 Mo4'
_cell_length_a 6.370
_cell_length_b 6.370
_cell_length_c 6.370
_cell_angle_alpha 90.00
_cell_angle_beta 90.00
_cell_angle_gamma 90.00
_symmetry_space_group_name_H-M 'F -4 3 m'
_symmetry_Int_Tables_number 216
_symmetry_space_group_name_Hall 'F -4 2 3'
loop_
_atom_site_label
_atom_site_type_symbol
_atom_site_fract_x
_atom_site_fract_y
_atom_site_fract_z
_atom_site_occupancy
Zr1 Zr 0.000 0.000 0.000 1
Nb1 Nb 0.000 0.000 0.500 1
Mo1 Mo 0.250 0.250 0.750 1

# AgBr2 PBE-GGA optimized geometry
# Electronic total energy, eV per cell: -13.5
data_AgBr2
_chemical_formula_sum 'Ag2 Br4'
_cell_length_a 6.078
_cell_length_b 4.153
_cell_length_c 6.966
_cell_angle_alpha 90.00
_cell_angle_beta 111.02
_cell_angle_gamma 90.00
_symmetry_space_group_name_H-M 'P 1 21/c 1'
_symmetry_Int_Tables_number 14
loop_
_symmetry_equiv_pos_as_xyz
'x,y,z'
'-x,-y,-z'
'-x,y+1/2,-z+1/2'
'x,-y+1/2,z+1/2'
loop_
_atom_site_label
_atom_site_type_symbol
_atom_site_fract_x
_atom_site_fract_y
_atom_site_fract_z
_atom_site_occupancy
Ag1 Ag 0.000 0.000 0.000 1
Br1 Br 0.271 0.124 0.790 1

# SbAuN3 PBE-GGA optimized geometry
# Electronic total energy, eV per cell: -100.1
data_SbAuN3
_chemical_formula_sum 'Sb4 Au4 N12'
_cell_length_a 5.724
_cell_length_b 8.989
_cell_length_c 6.557
_cell_angle_alpha 90.00
_cell_angle_beta 107.16
_cell_angle_gamma 90.00
_symmetry_space_group_name_H-M 'C 1 2/m 1'
_symmetry_Int_Tables_number 12
loop_
_symmetry_equiv_pos_as_xyz
'x,y,z'
'-x,-y,-z'
'-x,y,-z'
'x,-y,z'
'x+1/2,y+1/2,z'
'-x+1/2,-y+1/2,-z'
'-x+1/2,y+1/2,-z'
'x+1/2,-y+1/2,z'
loop_
_atom_site_label
_atom_site_type_symbol
_atom_site_fract_x
_atom_site_fract_y
_atom_site_fract_z
_atom_site_occupancy
Sb1 Sb 0.000 0.174 0.000 1
Au1 Au 0.000 0.335 0.500 1
N1 N 0.135 0.318 0.807 1
N2 N 0.167 0.000 0.878 1